1.
Compound: CaLaTa2
Source: the Alexandria database
Functional: PBE-GGA
Structure: optimized geometry

Crystal system: cubic
Size of the total moment (μB per cell): 0.0
Formation energy (eV/atom): 1.072
ΔE to the lowest computed polymorph (eV/atom): 0.7396

Cell: 7.316 7.316 7.316 Å, 90.00 90.00 90.00°
Space group Fm-3m (No. 225)
Asymmetric unit:
Ca 0.000 0.000 0.000 [4 per cell]
La 0.000 0.000 0.500 [4 per cell]
Ta 0.250 0.250 0.250 [8 per cell]

=====

2.
Compound: CaLa2Ta
Source: the Alexandria database
Functional: PBE-GGA
Structure: optimized geometry

Crystal system: tetragonal
Size of the total moment (μB per cell): 0.0
Formation energy (eV/atom): 0.345
ΔE to the lowest computed polymorph (eV/atom): 0.0000

Cell: 3.432 3.432 10.827 Å, 90.00 90.00 90.00°
Space group P4/mmm (No. 123)
Asymmetric unit:
Ca 0.000 0.000 0.000 [1 per cell]
La 0.500 0.500 0.299 [2 per cell]
Ta 0.000 0.000 0.500 [1 per cell]

=====

3.
Compound: Ca2LaTa
Source: the Alexandria database
Functional: PBE-GGA
Structure: optimized geometry

Crystal system: monoclinic
Size of the total moment (μB per cell): 0.0
Formation energy (eV/atom): 0.574
ΔE to the lowest computed polymorph (eV/atom): 0.1147

Cell: 10.798 3.339 6.760 Å, 90.00 96.19 90.00°
Space group Cm (No. 8)
Asymmetric unit:
Ca 0.000 0.000 0.000 [2 per cell]
Ca 0.238 0.000 0.722 [2 per cell]
La 0.479 0.000 0.430 [2 per cell]
Ta 0.242 0.500 0.272 [2 per cell]

=====

4.
Compound: CaLa2Ta
Source: the Alexandria database
Functional: PBE-GGA
Structure: optimized geometry

Crystal system: cubic
Size of the total moment (μB per cell): 0.0
Formation energy (eV/atom): 0.477
ΔE to the lowest computed polymorph (eV/atom): 0.1319

Cell: 7.743 7.743 7.743 Å, 90.00 90.00 90.00°
Space group Fm-3m (No. 225)
Asymmetric unit:
Ca 0.000 0.000 0.000 [4 per cell]
La 0.250 0.250 0.250 [8 per cell]
Ta 0.000 0.000 0.500 [4 per cell]

=====

5.
Compound: CaLa2Ta
Source: the Alexandria database
Functional: PBE-GGA
Structure: optimized geometry

Crystal system: trigonal
Size of the total moment (μB per cell): 0.0
Formation energy (eV/atom): 0.453
ΔE to the lowest computed polymorph (eV/atom): 0.1079

Cell: 3.4826 3.4826 35.5047 Å, 90.00 90.00 120.00°
Space group R-3m (No. 166, hexagonal axes)
Asymmetric unit:
Ca 0.0000 0.0000 0.0000 [3 per cell]
La 0.0000 0.0000 0.2375 [6 per cell]
Ta 0.0000 0.0000 0.5000 [3 per cell]

=====

6.
Compound: CaLaTa4
Source: the Alexandria database
Functional: PBE-GGA
Structure: optimized geometry

Crystal system: cubic
Size of the total moment (μB per cell): 0.0
Formation energy (eV/atom): 0.488

Cell: 8.227 8.227 8.227 Å, 90.00 90.00 90.00°
Space group F-43m (No. 216)
Asymmetric unit:
Ca 0.000 0.000 0.000 [4 per cell]
La 0.250 0.250 0.750 [4 per cell]
Ta 0.125 0.125 0.375 [16 per cell]

=====

7.
Compound: CaLaTa2
Source: the Alexandria database
Functional: PBE-GGA
Structure: optimized geometry

Crystal system: orthorhombic
Size of the total moment (μB per cell): 0.0
Formation energy (eV/atom): 0.613
ΔE to the lowest computed polymorph (eV/atom): 0.2801

Cell: 3.403 5.700 10.921 Å, 90.00 90.00 90.00°
Space group Imm2 (No. 44)
Asymmetric unit:
Ca 0.000 0.000 0.000 [2 per cell]
La 0.000 0.500 0.792 [2 per cell]
Ta 0.000 0.000 0.550 [2 per cell]
Ta 0.000 0.500 0.231 [2 per cell]

=====

8.
Compound: CaLaTa2
Source: the Alexandria database
Functional: PBE-GGA
Structure: optimized geometry

Crystal system: tetragonal
Size of the total moment (μB per cell): 0.0
Formation energy (eV/atom): 1.279
ΔE to the lowest computed polymorph (eV/atom): 0.9464

Cell: 8.327 8.327 5.879 Å, 90.00 90.00 90.00°
Space group I-42d (No. 122)
Asymmetric unit:
Ca 0.000 0.000 0.000 [4 per cell]
La 0.000 0.000 0.500 [4 per cell]
Ta 0.249 0.250 0.625 [8 per cell]

=====

9.
Compound: Ca2LaTa
Source: the Alexandria database
Functional: PBE-GGA
Structure: optimized geometry

Crystal system: trigonal
Size of the total moment (μB per cell): 0.0
Formation energy (eV/atom): 0.571
ΔE to the lowest computed polymorph (eV/atom): 0.1115

Cell: 3.3813 3.3813 36.1840 Å, 90.00 90.00 120.00°
Space group R-3m (No. 166, hexagonal axes)
Asymmetric unit:
Ca 0.0000 0.0000 0.2385 [6 per cell]
La 0.0000 0.0000 0.0000 [3 per cell]
Ta 0.0000 0.0000 0.5000 [3 per cell]

=====

10.
Compound: CaLaTa2
Source: the Alexandria database
Functional: PBE-GGA
Structure: optimized geometry

Crystal system: tetragonal
Size of the total moment (μB per cell): 0.0
Formation energy (eV/atom): 0.722
ΔE to the lowest computed polymorph (eV/atom): 0.3889

Cell: 3.008 3.008 10.590 Å, 90.00 90.00 90.00°
Space group P4/mmm (No. 123)
Asymmetric unit:
Ca 0.000 0.000 0.000 [1 per cell]
La 0.000 0.000 0.500 [1 per cell]
Ta 0.500 0.500 0.253 [2 per cell]

=====

11.
Compound: Ca2LaTa
Source: the Alexandria database
Functional: PBE-GGA
Structure: optimized geometry

Crystal system: cubic
Size of the total moment (μB per cell): 11.2
Formation energy (eV/atom): 0.651
ΔE to the lowest computed polymorph (eV/atom): 0.1915

Cell: 7.884 7.884 7.884 Å, 90.00 90.00 90.00°
Space group F-43m (No. 216)
Asymmetric unit:
Ca 0.000 0.000 0.000 [4 per cell]
Ca 0.250 0.250 0.250 [4 per cell]
La 0.000 0.000 0.500 [4 per cell]
Ta 0.250 0.250 0.750 [4 per cell]

=====

12.
Compound: CaLaTa2
Source: the Alexandria database
Functional: PBE-GGA
Structure: optimized geometry

Crystal system: monoclinic
Size of the total moment (μB per cell): 0.0
Formation energy (eV/atom): 0.333
ΔE to the lowest computed polymorph (eV/atom): 0.0000

Cell: 3.583 3.600 8.735 Å, 90.00 90.13 90.00°
Space group Pm (No. 6)
Asymmetric unit:
Ca 0.000 0.000 0.000 [1 per cell]
La 0.496 0.500 0.376 [1 per cell]
Ta 0.499 0.500 0.749 [1 per cell]
Ta 0.998 0.000 0.623 [1 per cell]